1.
Y2Cu3: optimized geometry, PBEsol.

The structure belongs to space group R-3m (No. 166, hexagonal axes); the cell edges are 4.1808, 4.1808 and 19.3328 Å and the angles 90.00°, 90.00° and 120.00°. The distinct sites, in fractional coordinates, are Y at (0.0000, 0.0000, 0.0884), Cu at (0.0000, 0.0000, 0.3364) and Cu at (0.0000, 0.0000, 0.5000).

Its raw total energy is -5.47 eV/atom. As for the magnetization: 0.000 μB/atom. As for the crystal system: trigonal.



2.
LaMnTl2: optimized geometry, PBEsol.

The structure belongs to space group R-3m (No. 166, hexagonal axes); the cell edges are 4.6291, 4.6291 and 16.5740 Å and the angles 90.00°, 90.00° and 120.00°. The distinct sites, in fractional coordinates, are La at (0.0000, 0.0000, 0.0000), Mn at (0.0000, 0.0000, 0.5000) and Tl at (0.0000, 0.0000, 0.2225).

Its raw total energy is -5.07 eV/atom. As for the magnetization: 0.957 μB/atom. As for the crystal system: trigonal.